(1)
# ReSi2P

An optimized crystal structure of ReSi2P (GGA-PBEsol, the Alexandria database).

Cell lengths 3.0999, 3.1229, 5.7624 Å; angles 101.59, 90.00, 90.00 degrees
Positions (direct):
Re (0.5000, 0.5000, 0.0000)
Si (0.0000, 0.9230, 0.7621)
P (0.5000, 0.5000, 0.5000)
Si (0.0000, 0.0770, 0.2379)

Volume, Å³/atom: 13.662
Final energy, hartree per atom: -0.27870

---

(2)
# ReSiP

An optimized crystal structure of ReSiP (GGA-PBEsol, the Alexandria database).

Cell lengths 2.9542, 4.0427, 4.0427 Å; angles 120.00, 90.00, 90.00 degrees
Positions (direct):
P (0.0000, 0.0000, 0.0000)
Re (0.0000, 0.3333, 0.6667)
Si (0.5000, 0.6667, 0.3333)

Volume, Å³/atom: 13.938
Final energy, hartree per atom: -0.29896

---

(3)
# ReSiP

An optimized crystal structure of ReSiP (GGA-PBEsol, the Alexandria database).

Cell lengths 3.1524, 6.7826, 6.7826 Å; angles 120.00, 90.00, 90.00 degrees
Positions (direct):
Re (0.0000, 0.7287, 0.0000)
Si (0.5000, 0.0000, 0.0000)
Re (0.0000, 0.2713, 0.2713)
Si (0.0000, 0.3333, 0.6667)
Si (0.0000, 0.6667, 0.3333)
P (0.5000, 0.3617, 0.0000)
Re (0.0000, 0.0000, 0.7287)
P (0.5000, 0.6383, 0.6383)
P (0.5000, 0.0000, 0.3617)

Volume, Å³/atom: 13.954
Final energy, hartree per atom: -0.29449

---

(4)
# Re2SnP2

An optimized crystal structure of Re2SnP2 (GGA-PBEsol, the Alexandria database).

Cell lengths 3.6929, 3.6929, 6.3672 Å; angles 106.86, 106.86, 90.00 degrees
Positions (direct):
Sn (0.0000, 0.0000, 0.0000)
Re (0.6225, 0.6225, 0.2449)
Re (0.3775, 0.3775, 0.7551)
P (0.7500, 0.2500, 0.5000)
P (0.2500, 0.7500, 0.5000)

Volume, Å³/atom: 15.839
Formation enthalpy at 0 K, eV/f.u.: 0.0
Final energy, hartree per atom: -0.31275

---

(5)
# Sr4ReP

An optimized crystal structure of Sr4ReP (GGA-PBEsol, the Alexandria database).

Cell lengths 6.2761, 6.2761, 6.2761 Å; angles 60.00, 60.00, 60.00 degrees
Site moments in Bohr magnetons follow the coordinates.
Positions (direct):
Sr (0.8753, 0.3749, 0.3749)  -0.06
Sr (0.3749, 0.8753, 0.3749)  -0.06
Re (0.0000, 0.0000, 0.0000)  1.85
Sr (0.3749, 0.3749, 0.8753)  -0.06
P (0.7500, 0.7500, 0.7500)  0.06
Sr (0.3749, 0.3749, 0.3749)  -0.06

Volume, Å³/atom: 29.134
Formation enthalpy at 0 K, eV/f.u.: 7.9
Final energy, hartree per atom: -0.11384

---

(6)
# SrReP2

An optimized crystal structure of SrReP2 (GGA-PBEsol, the Alexandria database).

Cell lengths 4.0086, 4.9479, 4.9479 Å; angles 71.44, 66.10, 66.10 degrees
Positions (direct):
P (0.6746, 0.3254, 0.3254)
Sr (0.5000, 0.0000, 0.0000)
P (0.3254, 0.6746, 0.6746)
Re (0.0000, 0.5000, 0.5000)

Volume, Å³/atom: 20.157
Formation enthalpy at 0 K, eV/f.u.: -0.5
Final energy, hartree per atom: -0.25061

---

| no. | total magnetization (μB/cell) |
| --- | --- |
| 1 | 0.00 |
| 2 | 0.00 |
| 3 | 0.00 |
| 4 | 0.00 |
| 5 | 1.77 |
| 6 | 0.00 |